No. 1
PuV2Tc | PBE | optimized geometry

Computed properties:
Uncorrected energy (eV per cell): -42.28
Polymorph energy (0 for the lowest one) (eV per atom): 0.124
ΔH_f (0 K) (meV/atom): 163.9

Cell: 4.5397 4.5397 3.0049 Å, 90.00 90.00 90.00°
Last column: nearest neighbours and their distance in Å.
Atoms (fractional coordinates):
1 Pu 0.0000 0.0000 0.0000  8 V 2.72, 2 Pu 3.00
2 V 0.0000 0.5000 0.5000  4 Tc 2.72, 4 Pu 2.72, 2 V 3.00
3 V 0.5000 0.0000 0.5000  4 Tc 2.72, 4 Pu 2.72, 2 V 3.00
4 Tc 0.5000 0.5000 0.0000  8 V 2.72, 2 Tc 3.00

---

No. 2
Na2TcP2 | PBE | optimized geometry

Computed properties:
Uncorrected energy (eV per cell): -49.98
ΔH_f (0 K) (meV/atom): -233.4

Cell: 6.1564 6.1564 4.7546 Å, 90.00 90.00 90.00°
Last column: nearest neighbours and their distance in Å.
Atoms (fractional coordinates):
1 Na 0.1791 0.3209 0.0000  6 P 2.88-3.08, 5 Na 3.12-3.20
2 Na 0.3209 0.8209 0.0000  6 P 2.88-3.08, 5 Na 3.12-3.20
3 Na 0.6791 0.1791 0.0000  6 P 2.88-3.08, 5 Na 3.12-3.20
4 Na 0.8209 0.6791 0.0000  6 P 2.88-3.08, 5 Na 3.12-3.20
5 Tc 0.0000 0.0000 0.5000  4 P 2.40
6 Tc 0.5000 0.5000 0.5000  4 P 2.40
7 P 0.1350 0.6350 0.5000  1 P 2.35, 2 Tc 2.40
8 P 0.3650 0.1350 0.5000  1 P 2.35, 2 Tc 2.40
9 P 0.6350 0.8650 0.5000  1 P 2.35, 2 Tc 2.40
10 P 0.8650 0.3650 0.5000  1 P 2.35, 2 Tc 2.40

---

No. 3
TbSmY2N4 | PBE | optimized geometry

Computed properties:
Uncorrected energy (eV per cell): -68.59

Cell: 6.0809 3.5120 6.0810 Å, 90.00 109.44 90.00°
Last column: nearest neighbours and their distance in Å.
Atoms (fractional coordinates):
1 Tb 0.0000 0.0000 0.0000  6 N 2.48
2 Sm 0.0000 0.5000 0.5000  6 N 2.50
3 Y 0.5000 0.0000 0.5000  6 N 2.48
4 Y 0.5000 0.5000 0.0000  6 N 2.46
5 N 0.2523 0.5000 0.2483  3 Y 2.46-2.48, 2 Tb 2.48, 1 Sm 2.50
6 N 0.2543 0.0000 0.7539  3 Y 2.46-2.48, 1 Tb 2.48, 2 Sm 2.50
7 N 0.7457 0.0000 0.2461  3 Y 2.46-2.48, 1 Tb 2.48, 2 Sm 2.50
8 N 0.7477 0.5000 0.7517  3 Y 2.46-2.48, 2 Tb 2.48, 1 Sm 2.50

---

No. 4
MgSc2Hg6 | PBE | optimized geometry

Computed properties:
Uncorrected energy (eV per cell): -18.06
Polymorph energy (0 for the lowest one) (eV per atom): 0.000
ΔH_f (0 K) (meV/atom): -221.3

Cell: 8.6971 8.6971 5.2282 Å, 98.57 98.57 144.52°
Last column: nearest neighbours and their distance in Å.
Atoms (fractional coordinates):
1 Mg 0.0000 0.0000 0.0000  10 Hg 3.01-3.12
2 Sc 0.1682 0.8318 0.5000  10 Hg 3.03-3.18
3 Sc 0.8318 0.1682 0.5000  10 Hg 3.03-3.18
4 Hg 0.1693 0.4952 0.1664  4 Sc 3.03-3.18, 5 Hg 3.04-3.26, 1 Mg 3.11
5 Hg 0.3250 0.3250 0.6626  5 Hg 3.01-3.13, 3 Mg 3.01-3.12, 2 Sc 3.17
6 Hg 0.4952 0.1693 0.1664  4 Sc 3.03-3.18, 5 Hg 3.04-3.26, 1 Mg 3.11
7 Hg 0.5048 0.8307 0.8336  4 Sc 3.03-3.18, 5 Hg 3.04-3.26, 1 Mg 3.11
8 Hg 0.6750 0.6750 0.3374  5 Hg 3.01-3.13, 3 Mg 3.01-3.12, 2 Sc 3.17
9 Hg 0.8307 0.5048 0.8336  4 Sc 3.03-3.18, 5 Hg 3.04-3.26, 1 Mg 3.11

---

No. 5
MnNbMo | PBE | optimized geometry

Computed properties:
Uncorrected energy (eV per cell): -59.84
Polymorph energy (0 for the lowest one) (eV per atom): 0.000
ΔH_f (0 K) (meV/atom): 50.4

Cell: 3.1166 3.1166 9.3032 Å, 90.00 90.00 90.00°
Last column: nearest neighbours and their distance in Å.
Atoms (fractional coordinates):
1 Mn 0.0000 0.0000 0.0000  4 Mo 2.64, 4 Nb 2.68
2 Mn 0.5000 0.5000 0.5000  4 Mo 2.64, 4 Nb 2.68
3 Nb 0.0000 0.0000 0.3354  4 Mn 2.68, 5 Mo 2.76-2.98
4 Nb 0.5000 0.5000 0.8354  4 Mn 2.68, 5 Mo 2.76-2.98
5 Mo 0.0000 0.0000 0.6562  4 Mn 2.64, 4 Nb 2.76
6 Mo 0.5000 0.5000 0.1562  4 Mn 2.64, 4 Nb 2.76

---

No. 6
CrAg2Ir | PBE | optimized geometry

Computed properties:
Uncorrected energy (eV per cell): -44.96
Polymorph energy (0 for the lowest one) (eV per atom): 0.234
ΔH_f (0 K) (meV/atom): 426.4

Cell: 2.9576 4.7389 9.3042 Å, 90.00 90.00 90.00°
Last column: nearest neighbours and their distance in Å.
Atoms (fractional coordinates):
1 Cr 0.0000 0.0000 0.0000  2 Ir 2.48
2 Cr 0.5000 0.5000 0.5000  2 Ir 2.48
3 Ag 0.0000 0.0000 0.4775  4 Cr 2.80, 2 Ir 2.87, 4 Ag 2.87-2.96
4 Ag 0.0000 0.5000 0.2421  4 Ir 2.81, 2 Cr 2.82, 4 Ag 2.87-2.96
5 Ag 0.5000 0.0000 0.7421  4 Ir 2.81, 2 Cr 2.82, 4 Ag 2.87-2.96
6 Ag 0.5000 0.5000 0.9775  4 Cr 2.80, 2 Ir 2.87, 4 Ag 2.87-2.96
7 Ir 0.0000 0.5000 0.7134  2 Cr 2.48
8 Ir 0.5000 0.0000 0.2134  2 Cr 2.48

---

No. 7
PAuCO2 | PBE | optimized geometry

Computed properties:
Uncorrected energy (eV per cell): -18.44
Polymorph energy (0 for the lowest one) (eV per atom): 0.745

Cell: 3.8561 3.8561 5.2331 Å, 90.00 90.00 90.00°
Last column: nearest neighbours and their distance in Å.
Atoms (fractional coordinates):
1 P 0.0000 0.0000 0.0000  2 Au 2.62, 4 C 2.73
2 Au 0.0000 0.0000 0.5000  4 O 1.93
3 C 0.5000 0.5000 0.0000  4 P 2.73
4 O 0.0000 0.5000 0.5000  2 Au 1.93
5 O 0.5000 0.0000 0.5000  2 Au 1.93

---

No. 8
InTeW3 | PBE | optimized geometry

Computed properties:
Uncorrected energy (eV per cell): -33.24
Polymorph energy (0 for the lowest one) (eV per atom): 0.000

Cell: 4.8932 4.8932 4.8932 Å, 90.00 90.00 90.00°
Last column: nearest neighbours and their distance in Å.
Atoms (fractional coordinates):
1 In 0.0000 0.0000 0.0000  12 W 3.46
2 Te 0.5000 0.5000 0.5000  6 W 2.45
3 W 0.0000 0.5000 0.5000  2 Te 2.45
4 W 0.5000 0.0000 0.5000  2 Te 2.45
5 W 0.5000 0.5000 0.0000  2 Te 2.45

---

No. 9
ZnN | PBE | optimized geometry

Computed properties:
Uncorrected energy (eV per cell): -64.59
Polymorph energy (0 for the lowest one) (eV per atom): 0.535

Cell: 6.2880 6.2880 6.2880 Å, 90.00 90.00 90.00°
Last column: nearest neighbours and their distance in Å.
Atoms (fractional coordinates):
1 Zn 0.1640 0.1640 0.8360  4 N 1.89-2.05
2 Zn 0.1640 0.8360 0.1640  4 N 1.89-2.05
3 Zn 0.3360 0.3360 0.3360  4 N 1.89-2.05
4 Zn 0.3360 0.6640 0.6640  4 N 1.89-2.05
5 Zn 0.6640 0.3360 0.6640  4 N 1.89-2.05
6 Zn 0.6640 0.6640 0.3360  4 N 1.89-2.05
7 Zn 0.8360 0.1640 0.1640  4 N 1.89-2.05
8 Zn 0.8360 0.8360 0.8360  4 N 1.89-2.05
9 N 0.1625 0.1625 0.1625  4 Zn 1.89-2.05
10 N 0.1625 0.8375 0.8375  4 Zn 1.89-2.05
11 N 0.3375 0.3375 0.6625  4 Zn 1.89-2.05
12 N 0.3375 0.6625 0.3375  4 Zn 1.89-2.05
13 N 0.6625 0.3375 0.3375  4 Zn 1.89-2.05
14 N 0.6625 0.6625 0.6625  4 Zn 1.89-2.05
15 N 0.8375 0.1625 0.8375  4 Zn 1.89-2.05
16 N 0.8375 0.8375 0.1625  4 Zn 1.89-2.05

---

No. 10
La2NiRh | PBE | optimized geometry

Computed properties:
Uncorrected energy (eV per cell): -95.81
ΔH_f (0 K) (meV/atom): -241.4

Cell: 7.5815 7.5815 6.6397 Å, 90.00 90.00 90.00°
Last column: nearest neighbours and their distance in Å.
Atoms (fractional coordinates):
1 La 0.2490 0.7500 0.1250  2 Ni 2.80, 2 Rh 2.81
2 La 0.2500 0.2490 0.8750  2 Ni 2.80, 2 Rh 2.81
3 La 0.2500 0.2510 0.3750  2 Ni 2.80, 2 Rh 2.81
4 La 0.2510 0.7500 0.6250  2 Ni 2.80, 2 Rh 2.81
5 La 0.7490 0.2500 0.6250  2 Ni 2.80, 2 Rh 2.81
6 La 0.7500 0.7490 0.3750  2 Ni 2.80, 2 Rh 2.81
7 La 0.7500 0.7510 0.8750  2 Ni 2.80, 2 Rh 2.81
8 La 0.7510 0.2500 0.1250  2 Ni 2.80, 2 Rh 2.81
9 Ni 0.0000 0.0000 0.0000  4 La 2.80
10 Ni 0.0000 0.5000 0.2500  4 La 2.80
11 Ni 0.5000 0.0000 0.7500  4 La 2.80
12 Ni 0.5000 0.5000 0.5000  4 La 2.80
13 Rh 0.0000 0.0000 0.5000  4 La 2.81
14 Rh 0.0000 0.5000 0.7500  4 La 2.81
15 Rh 0.5000 0.0000 0.2500  4 La 2.81
16 Rh 0.5000 0.5000 0.0000  4 La 2.81

---

No. 11
MgZrBr2 | PBE | optimized geometry

Computed properties:
Uncorrected energy (eV per cell): -31.01
Polymorph energy (0 for the lowest one) (eV per atom): 0.233

Cell: 5.3384 3.5536 10.0889 Å, 90.00 90.00 90.00°
Last column: nearest neighbours and their distance in Å.
Atoms (fractional coordinates):
1 Mg 0.0000 0.0000 0.0000  3 Br 2.83-2.85
2 Mg 0.0000 0.5000 0.5000  3 Br 2.83-2.85
3 Zr 0.5000 0.0000 0.6105  5 Br 2.79-2.90
4 Zr 0.5000 0.5000 0.1105  5 Br 2.79-2.90
5 Br 0.0000 0.0000 0.7177  3 Mg 2.83-2.85, 2 Zr 2.88
6 Br 0.0000 0.5000 0.2177  3 Mg 2.83-2.85, 2 Zr 2.88
7 Br 0.5000 0.0000 0.3233  3 Zr 2.79-2.90
8 Br 0.5000 0.5000 0.8233  3 Zr 2.79-2.90

---

No. 12
LaDyO3 | PBE | optimized geometry

Computed properties:
Uncorrected energy (eV per cell): -83.28

Cell: 5.8428 3.9702 8.3229 Å, 90.00 101.05 90.00°
Last column: nearest neighbours and their distance in Å.
Atoms (fractional coordinates):
1 La 0.2245 0.2500 0.3940  6 O 2.38-2.59
2 La 0.7755 0.7500 0.6060  6 O 2.38-2.59
3 Dy 0.3956 0.2500 0.8325  5 O 2.16-2.32
4 Dy 0.6044 0.7500 0.1675  5 O 2.16-2.32
5 O 0.0655 0.2500 0.6574  1 Dy 2.18
6 O 0.4329 0.2500 0.1154  3 Dy 2.23-2.32
7 O 0.4454 0.7500 0.3818  1 Dy 2.16, 3 La 2.38-2.41
8 O 0.5546 0.2500 0.6182  1 Dy 2.16, 3 La 2.38-2.41
9 O 0.5671 0.7500 0.8846  3 Dy 2.23-2.32
10 O 0.9345 0.7500 0.3426  1 Dy 2.18